<w>
NbOsNF2: optimized geometry, GGA-PBE.

a b c (Å): 4.338 4.338 3.773
angles (deg): 90.00 90.00 90.00
Fractional positions:
Nb  0.500  0.500  0.500
N  0.000  0.000  0.500
Os  0.000  0.000  0.000
F  0.000  0.500  0.000
F  0.500  0.000  0.000

Computed properties:
**Volume**: 71 Å³ per cell
**Density**: 7.8 g/cm3
**Spin magnetization**: 3.1 μB per formula unit
**Space-group type**: P4/mmm



<x>
NbOsNF2: optimized geometry, GGA-PBE.

a b c (Å): 4.126 4.126 4.138
angles (deg): 90.00 90.00 90.00
Fractional positions:
Nb  0.000  0.000  0.000
N  0.000  0.000  0.500
Os  0.500  0.500  0.500
F  0.000  0.500  0.000
F  0.500  0.000  0.000

Computed properties:
**Volume**: 70 Å³ per cell
**Density**: 7.9 g/cm3
**Spin magnetization**: 2.5 μB per formula unit
**Space-group type**: P4/mmm



Most stable: <x>. Least stable: <w>.



<w>
NbOsN2F: optimized geometry, GGA-PBE.

a b c (Å): 4.120 4.120 3.953
angles (deg): 90.00 90.00 90.00
Fractional positions:
Nb  0.000  0.000  0.000
N  0.000  0.500  0.000
N  0.500  0.000  0.000
Os  0.500  0.500  0.500
F  0.000  0.000  0.500

Computed properties:
**Volume**: 67 Å³ per cell
**Density**: 8.2 g/cm3
**Spin magnetization**: 2.9 μB per formula unit
**Space-group type**: P4/mmm



<x>
NbOsN2F: optimized geometry, GGA-PBE.

a b c (Å): 3.877 3.877 4.191
angles (deg): 90.00 90.00 90.00
Fractional positions:
Nb  0.500  0.500  0.500
N  0.000  0.500  0.000
N  0.500  0.000  0.000
Os  0.000  0.000  0.000
F  0.000  0.000  0.500

Computed properties:
**Volume**: 63 Å³ per cell
**Density**: 8.7 g/cm3
**Spin magnetization**: 2.5 μB per formula unit
**Space-group type**: P4/mmm



Most stable: <x>. Least stable: <w>.



<w>
NbReNF2: optimized geometry, GGA-PBE.

a b c (Å): 4.209 4.209 3.886
angles (deg): 90.00 90.00 90.00
Fractional positions:
Re  0.000  0.000  0.000
Nb  0.500  0.500  0.500
N  0.000  0.000  0.500
F  0.000  0.500  0.000
F  0.500  0.000  0.000

Computed properties:
**Volume**: 69 Å³ per cell
**Density**: 8.0 g/cm3
**Spin magnetization**: 2.8 μB per formula unit
**Space-group type**: P4/mmm



<x>
NbReNF2: optimized geometry, GGA-PBE.

a b c (Å): 4.254 4.254 4.100
angles (deg): 90.00 90.00 90.00
Fractional positions:
Re  0.500  0.500  0.500
Nb  0.000  0.000  0.000
N  0.000  0.000  0.500
F  0.000  0.500  0.000
F  0.500  0.000  0.000

Computed properties:
**Volume**: 74 Å³ per cell
**Density**: 7.4 g/cm3
**Spin magnetization**: 4.2 μB per formula unit
**Space-group type**: P4/mmm



Most stable: <x>. Least stable: <w>.